# Th2BeZnPd6 | the Alexandria database | GGA-PBE | relaxed
data_Th2BeZnPd6
_cell_length_a 5.8433
_cell_length_b 5.8433
_cell_length_c 37.7023
_cell_angle_alpha 90.00
_cell_angle_beta 90.00
_cell_angle_gamma 120.00
_symmetry_space_group_name_H-M 'R -3 m'
_symmetry_Int_Tables_number 166
_symmetry_space_group_name_Hall '-R 3 2"'
loop_
_atom_site_label
_atom_site_type_symbol
_atom_site_fract_x
_atom_site_fract_y
_atom_site_fract_z
Th1 Th 0.0000 0.0000 0.1164
Th2 Th 0.0000 0.0000 0.2849
Be1 Be 0.0000 0.0000 0.0000
Be2 Be 0.0000 0.0000 0.5000
Zn1 Zn 0.0000 0.0000 0.4203
Pd1 Pd 0.0070 0.5035 0.2982
Pd2 Pd 0.0267 0.5134 0.8660
# density of states at the Fermi level	33.97	states/eV/cell
# total magnetization	0.0	μB/cell
# energy of formation from the pure elements	-662	meV/atom